1.
The following is a PBE calculation of MgTi3Tl after structural relaxation, from Alexandria.

Cell: 4.803 4.803 4.803 Å, 90.00 90.00 90.00°
Positions (direct):
1 Ti 0.500 0.000 0.000
2 Ti 0.000 0.500 0.000
3 Ti 0.000 0.000 0.500
4 Tl 0.500 0.500 0.500
5 Mg 0.000 0.000 0.000

- space group = Pm-3m (221)
- ΔE to the lowest computed polymorph (meV per atom) = 0

---

2.
The following is a PBE calculation of MgTiTl2 after structural relaxation, from Alexandria.

Cell: 3.267 3.267 10.857 Å, 81.35 81.35 60.00°
Positions (direct):
1 Tl 0.087 0.087 0.738
2 Tl 0.913 0.913 0.262
3 Mg 0.500 0.500 0.500
4 Ti 0.000 0.000 0.000

- space group = R-3m (166)

---

3.
The following is a PBE calculation of MgTiTl after structural relaxation, from Alexandria.

Cell: 3.183 5.168 8.236 Å, 96.57 90.00 107.93°
Each line ends with the local moment (μB).
Positions (direct):
1 Tl 0.398 0.796 0.763  0.00
2 Tl 0.602 0.204 0.237  0.00
3 Ti 0.861 0.721 0.063  0.20
4 Ti 0.139 0.279 0.937  0.20
5 Mg 0.654 0.307 0.610  0.00
6 Mg 0.346 0.693 0.390  0.00

- space group = C2/m (12)

---

4.
The following is a PBE calculation of MgTiTl2 after structural relaxation, from Alexandria.

Cell: 4.154 4.565 4.565 Å, 90.00 90.00 90.00°
Each line ends with the local moment (μB).
Positions (direct):
1 Tl 0.000 0.500 0.000  -0.01
2 Tl 0.000 0.000 0.500  -0.01
3 Mg 0.500 0.500 0.500  0.00
4 Ti 0.500 0.000 0.000  0.41

- space group = P4/mmm (123)

---

| no. | DFT formation energy (eV/atom) | calculated volume (Å³/atom) |
| --- | --- | --- |
| 1 | 1.094 | 22.2 |
| 2 | 0.351 | 24.7 |
| 3 | 0.090 | 21.3 |
| 4 | 0.110 | 21.6 |